Entry from Alexandria via LeMat-Bulk: a relaxed ReMoO5 crystal (PBE+U).

Lattice parameters (Å, degrees): 3.660 5.336 5.336 74.13 69.95 69.95
Last column: magnetic moment on the atom in μB.
Positions (direct):
Re: 0.000 0.000 0.000  0.26
O: 0.000 0.690 0.310  0.00
Mo: 0.500 0.500 0.500  1.99
O: 0.000 0.310 0.690  0.00
O: 0.243 0.757 0.757  -0.04
O: 0.500 0.000 0.000  0.00
O: 0.757 0.243 0.243  -0.04

Final energy, eV/f.u.: -55.043
DOS(E_F), states/eV/f.u.: 1.9
Density, kg/m³: 6644